Record 1
# Hf3MgAg

Hf3MgAg at its PBEsol-relaxed geometry (meta-GGA SCAN, Alexandria via LeMat-Bulk).

Lattice parameters (Å, degrees): 5.0523 5.0523 5.0523 90.00 90.00 90.00
Fractional coordinates of all 5 atoms:
1 Hf 0.0000 0.0000 0.5000
2 Hf 0.0000 0.5000 0.0000
3 Hf 0.5000 0.0000 0.0000
4 Mg 0.5000 0.5000 0.5000
5 Ag 0.0000 0.0000 0.0000

Computed properties:
**Density**: 8.596 g/cm3
**Calculated total energy**: -43.939 eV/atom
**E_form**: 0.933 eV/atom
**M_tot**: 0.0 μB per formula unit

Record 2
# KMgRu2Pt

KMgRu2Pt at its PBEsol-relaxed geometry (meta-GGA SCAN, Alexandria via LeMat-Bulk).

Lattice parameters (Å, degrees): 4.3970 4.3970 4.5652 90.00 90.00 90.00
Fractional coordinates of all 5 atoms:
1 K 0.0000 0.0000 0.0000
2 Mg 0.0000 0.0000 0.5000
3 Ru 0.0000 0.5000 0.0000
4 Ru 0.5000 0.0000 0.0000
5 Pt 0.5000 0.5000 0.5000

Computed properties:
**Density**: 8.666 g/cm3
**Calculated total energy**: -28.219 eV/atom
**E_form**: 2.410 eV/atom
**M_tot**: 0.0 μB per formula unit

Record 3
# CaInSe2

CaInSe2 at its PBEsol-relaxed geometry (meta-GGA SCAN, Alexandria via LeMat-Bulk).

Lattice parameters (Å, degrees): 4.1262 4.1262 5.8781 90.00 90.00 90.00
Fractional coordinates of all 4 atoms:
1 Ca 0.0000 0.0000 0.0000
2 In 0.5000 0.5000 0.5000
3 Se 0.0000 0.0000 0.5000
4 Se 0.5000 0.5000 0.0000

Computed properties:
**Density**: 5.190 g/cm3
**Calculated total energy**: -22.159 eV/atom
**Formation energy without anion corrections**: -1.357 eV per atom
**M_tot**: 0.0 μB per formula unit

What is the formula in the second record? KMgRu2Pt